(1)
Entry from the Alexandria database: a geometry-optimized PmErAlPd structure (PBE-GGA).

The structure in CIF format:
```
data_PmErAlPd
_symmetry_space_group_name_H-M 'P 1'
_symmetry_Int_Tables_number 1
_cell_length_a 4.5015
_cell_length_b 5.9652
_cell_length_c 5.9652
_cell_angle_alpha 37.37
_cell_angle_beta 90.00
_cell_angle_gamma 90.00
loop_
_symmetry_equiv_pos_as_xyz
'x,y,z'
loop_
_atom_site_label
_atom_site_fract_x
_atom_site_fract_y
_atom_site_fract_z
Pm1 0.0000 0.0000 0.0000
Er1 0.5000 0.2890 0.2890
Al1 0.0000 0.7215 0.7215
Pd1 0.5000 0.5853 0.5853
```

Summary:
formation enthalpy at 0 K	-0.591	eV/atom
energy relative to the lowest polymorph listed for this composition	0.0	meV/atom
raw total energy	-0.3788	Ry per atom
D(E_F)	3.958	states/eV per cell

(2)
Entry from the Alexandria database: a geometry-optimized CsK14Ag structure (PBE-GGA).

The structure in CIF format:
```
data_CsK14Ag
_symmetry_space_group_name_H-M 'P 1'
_symmetry_Int_Tables_number 1
_cell_length_a 12.8536
_cell_length_b 9.4460
_cell_length_c 9.4460
_cell_angle_alpha 78.28
_cell_angle_beta 90.00
_cell_angle_gamma 90.00
loop_
_symmetry_equiv_pos_as_xyz
'x,y,z'
loop_
_atom_site_label
_atom_site_fract_x
_atom_site_fract_y
_atom_site_fract_z
Cs1 0.0000 0.0000 0.0000
K1 0.0000 0.5088 0.9715
K2 0.0000 0.9715 0.5088
K3 0.1980 0.3031 0.6662
K4 0.1980 0.6662 0.3031
K5 0.2351 0.2258 0.2258
K6 0.2732 0.7671 0.7671
K7 0.5000 0.0044 0.0044
K8 0.5000 0.0388 0.4864
K9 0.5000 0.4864 0.0388
K10 0.5000 0.5176 0.5176
K11 0.7268 0.7671 0.7671
K12 0.7649 0.2258 0.2258
K13 0.8020 0.3031 0.6662
K14 0.8020 0.6662 0.3031
Ag1 0.0000 0.3599 0.3599
```

Summary:
formation enthalpy at 0 K	0.038	eV/atom
raw total energy	-0.0848	Ry per atom
D(E_F)	13.005	states/eV per cell

(3)
Entry from the Alexandria database: a geometry-optimized BaNa2PCl structure (PBE-GGA).

The structure in CIF format:
```
data_BaNa2PCl
_symmetry_space_group_name_H-M 'P 1'
_symmetry_Int_Tables_number 1
_cell_length_a 7.2552
_cell_length_b 7.2552
_cell_length_c 5.3017
_cell_angle_alpha 90.00
_cell_angle_beta 90.00
_cell_angle_gamma 90.00
loop_
_symmetry_equiv_pos_as_xyz
'x,y,z'
loop_
_atom_site_label
_atom_site_fract_x
_atom_site_fract_y
_atom_site_fract_z
Ba1 0.0000 0.0000 0.0000
Na1 0.0000 0.5000 0.0000
Na2 0.5000 0.0000 0.0000
P1 0.0000 0.0000 0.5000
Cl1 0.5000 0.5000 0.5000
```

Summary:
energy relative to the elements, uncorrected	95	kJ/mol of formula units
raw total energy	-0.1593	Ry per atom
D(E_F)	3.106	states/eV per cell

(4)
Entry from the Alexandria database: a geometry-optimized Er3Sb2Te2 structure (PBE-GGA).

The structure in CIF format:
```
data_Er3Sb2Te2
_symmetry_space_group_name_H-M 'P 1'
_symmetry_Int_Tables_number 1
_cell_length_a 8.4187
_cell_length_b 8.4187
_cell_length_c 7.5527
_cell_angle_alpha 115.72
_cell_angle_beta 115.72
_cell_angle_gamma 29.41
loop_
_symmetry_equiv_pos_as_xyz
'x,y,z'
loop_
_atom_site_label
_atom_site_fract_x
_atom_site_fract_y
_atom_site_fract_z
Er1 0.0000 0.0000 0.0000
Er2 0.2598 0.2598 0.2675
Er3 0.7402 0.7402 0.7325
Sb1 0.3710 0.3710 0.0285
Sb2 0.6290 0.6290 0.9715
Te1 0.1232 0.1232 0.4504
Te2 0.8768 0.8768 0.5496
```

Summary:
energy relative to the elements, uncorrected	-696	kJ/mol of formula units
raw total energy	-0.3720	Ry per atom
D(E_F)	3.669	states/eV per cell

(5)
Entry from the Alexandria database: a geometry-optimized NaMnFeSe3 structure (PBE-GGA).

The structure in CIF format:
```
data_NaMnFeSe3
_symmetry_space_group_name_H-M 'P 1'
_symmetry_Int_Tables_number 1
_cell_length_a 8.0068
_cell_length_b 3.6564
_cell_length_c 8.9114
_cell_angle_alpha 90.00
_cell_angle_beta 107.84
_cell_angle_gamma 90.00
loop_
_symmetry_equiv_pos_as_xyz
'x,y,z'
loop_
_atom_site_label
_atom_site_fract_x
_atom_site_fract_y
_atom_site_fract_z
Na1 0.2105 0.2500 0.2561
Na2 0.7895 0.7500 0.7439
Mn1 0.3277 0.7500 0.8492
Mn2 0.6723 0.2500 0.1508
Fe1 0.0660 0.2500 0.5944
Fe2 0.9340 0.7500 0.4056
Se1 0.1204 0.2500 0.8764
Se2 0.2526 0.7500 0.5465
Se3 0.4524 0.7500 0.1433
Se4 0.5476 0.2500 0.8567
Se5 0.7474 0.2500 0.4535
Se6 0.8796 0.7500 0.1236
```

Summary:
energy relative to the elements, uncorrected	-294	kJ/mol of formula units
raw total energy	-0.3976	Ry per atom
D(E_F)	7.545	states/eV per cell

(6)
Entry from the Alexandria database: a geometry-optimized CrSN3 structure (PBE-GGA).

The structure in CIF format:
```
data_CrSN3
_symmetry_space_group_name_H-M 'P 1'
_symmetry_Int_Tables_number 1
_cell_length_a 3.4896
_cell_length_b 3.4896
_cell_length_c 3.4896
_cell_angle_alpha 90.00
_cell_angle_beta 90.00
_cell_angle_gamma 90.00
loop_
_symmetry_equiv_pos_as_xyz
'x,y,z'
loop_
_atom_site_label
_atom_site_fract_x
_atom_site_fract_y
_atom_site_fract_z
Cr1 0.0000 0.0000 0.0000
S1 0.5000 0.5000 0.5000
N1 0.0000 0.5000 0.5000
N2 0.5000 0.0000 0.5000
N3 0.5000 0.5000 0.0000
```

Summary:
energy relative to the elements, uncorrected	735	kJ/mol of formula units
raw total energy	-0.4573	Ry per atom
D(E_F)	1.508	states/eV per cell

(7)
Entry from the Alexandria database: a geometry-optimized TbPr5Bi5 structure (PBE-GGA).

The structure in CIF format:
```
data_TbPr5Bi5
_symmetry_space_group_name_H-M 'P 1'
_symmetry_Int_Tables_number 1
_cell_length_a 7.9164
_cell_length_b 7.9164
_cell_length_c 9.1314
_cell_angle_alpha 106.97
_cell_angle_beta 106.97
_cell_angle_gamma 48.33
loop_
_symmetry_equiv_pos_as_xyz
'x,y,z'
loop_
_atom_site_label
_atom_site_fract_x
_atom_site_fract_y
_atom_site_fract_z
Tb1 0.0000 0.0000 0.0000
Pr1 0.0000 0.0000 0.5000
Pr2 0.3302 0.3302 0.6664
Pr3 0.3364 0.3364 0.1708
Pr4 0.6636 0.6636 0.8292
Pr5 0.6698 0.6698 0.3336
Bi1 0.1643 0.1643 0.3298
Bi2 0.1661 0.1661 0.8368
Bi3 0.5000 0.5000 0.0000
Bi4 0.8339 0.8339 0.1632
Bi5 0.8357 0.8357 0.6702
```

Summary:
formation enthalpy at 0 K	-0.761	eV/atom
raw total energy	-0.3762	Ry per atom
D(E_F)	6.950	states/eV per cell

(8)
Entry from the Alexandria database: a geometry-optimized ThSi2Tc2 structure (PBE-GGA).

The structure in CIF format:
```
data_ThSi2Tc2
_symmetry_space_group_name_H-M 'P 1'
_symmetry_Int_Tables_number 1
_cell_length_a 10.7527
_cell_length_b 10.7527
_cell_length_c 10.7527
_cell_angle_alpha 157.91
_cell_angle_beta 157.48
_cell_angle_gamma 31.75
loop_
_symmetry_equiv_pos_as_xyz
'x,y,z'
loop_
_atom_site_label
_atom_site_fract_x
_atom_site_fract_y
_atom_site_fract_z
Th1 0.4120 0.1620 0.2500
Th2 0.5880 0.8380 0.7500
Si1 0.0291 0.2791 0.7500
Si2 0.1458 0.3958 0.7500
Si3 0.8542 0.6042 0.2500
Si4 0.9709 0.7209 0.2500
Tc1 0.2127 0.9627 0.2500
Tc2 0.2916 0.5416 0.7500
Tc3 0.7084 0.4584 0.2500
Tc4 0.7873 0.0373 0.7500
```

Summary:
energy relative to the lowest polymorph listed for this composition	40.8	meV/atom
energy relative to the elements, uncorrected	-305	kJ/mol of formula units
raw total energy	-0.6197	Ry per atom
D(E_F)	5.123	states/eV per cell

(9)
Entry from the Alexandria database: a geometry-optimized HfHgSeN2 structure (PBE-GGA).

The structure in CIF format:
```
data_HfHgSeN2
_symmetry_space_group_name_H-M 'P 1'
_symmetry_Int_Tables_number 1
_cell_length_a 4.1515
_cell_length_b 4.1515
_cell_length_c 5.1452
_cell_angle_alpha 90.00
_cell_angle_beta 90.00
_cell_angle_gamma 90.00
loop_
_symmetry_equiv_pos_as_xyz
'x,y,z'
loop_
_atom_site_label
_atom_site_fract_x
_atom_site_fract_y
_atom_site_fract_z
Hf1 0.0000 0.0000 0.0000
Hg1 0.5000 0.5000 0.5000
Se1 0.5000 0.5000 0.0000
N1 0.0000 0.5000 0.5000
N2 0.5000 0.0000 0.5000
```

Summary:
energy relative to the lowest polymorph listed for this composition	1385.1	meV/atom
energy relative to the elements, uncorrected	785	kJ/mol of formula units
raw total energy	-0.3271	Ry per atom
D(E_F)	2.884	states/eV per cell

(10)
Entry from the Alexandria database: a geometry-optimized CoAu5 structure (PBE-GGA).

The structure in CIF format:
```
data_CoAu5
_symmetry_space_group_name_H-M 'P 1'
_symmetry_Int_Tables_number 1
_cell_length_a 5.4395
_cell_length_b 5.4395
_cell_length_c 5.4395
_cell_angle_alpha 60.00
_cell_angle_beta 60.00
_cell_angle_gamma 60.00
loop_
_symmetry_equiv_pos_as_xyz
'x,y,z'
loop_
_atom_site_label
_atom_site_fract_x
_atom_site_fract_y
_atom_site_fract_z
Co1 0.0000 0.0000 0.0000
Au1 0.1248 0.6251 0.6251
Au2 0.2500 0.2500 0.2500
Au3 0.6251 0.1248 0.6251
Au4 0.6251 0.6251 0.1248
Au5 0.6251 0.6251 0.6251
```

Summary:
formation enthalpy at 0 K	0.419	eV/atom
raw total energy	-0.2570	Ry per atom
D(E_F)	3.663	states/eV per cell

(11)
Entry from the Alexandria database: a geometry-optimized TiIn3Os structure (PBE-GGA).

The structure in CIF format:
```
data_TiIn3Os
_symmetry_space_group_name_H-M 'P 1'
_symmetry_Int_Tables_number 1
_cell_length_a 5.0978
_cell_length_b 5.0978
_cell_length_c 5.0978
_cell_angle_alpha 90.00
_cell_angle_beta 90.00
_cell_angle_gamma 90.00
loop_
_symmetry_equiv_pos_as_xyz
'x,y,z'
loop_
_atom_site_label
_atom_site_fract_x
_atom_site_fract_y
_atom_site_fract_z
Ti1 0.0000 0.0000 0.0000
In1 0.0000 0.5000 0.5000
In2 0.5000 0.0000 0.5000
In3 0.5000 0.5000 0.0000
Os1 0.5000 0.5000 0.5000
```

Summary:
formation enthalpy at 0 K	0.826	eV/atom
energy relative to the lowest polymorph listed for this composition	0.0	meV/atom
raw total energy	-0.3412	Ry per atom
D(E_F)	12.319	states/eV per cell

(12)
Entry from the Alexandria database: a geometry-optimized Hg2IrS2 structure (PBE-GGA).

The structure in CIF format:
```
data_Hg2IrS2
_symmetry_space_group_name_H-M 'P 1'
_symmetry_Int_Tables_number 1
_cell_length_a 9.7355
_cell_length_b 9.7355
_cell_length_c 9.7355
_cell_angle_alpha 160.36
_cell_angle_beta 160.36
_cell_angle_gamma 27.92
loop_
_symmetry_equiv_pos_as_xyz
'x,y,z'
loop_
_atom_site_label
_atom_site_fract_x
_atom_site_fract_y
_atom_site_fract_z
Hg1 0.0845 0.0845 0.0000
Hg2 0.9155 0.9155 0.0000
Ir1 0.5000 0.5000 0.0000
S1 0.2500 0.7500 0.5000
S2 0.7500 0.2500 0.5000
```

Summary:
energy relative to the lowest polymorph listed for this composition	0.0	meV/atom
energy relative to the elements, uncorrected	273	kJ/mol of formula units
raw total energy	-0.2189	Ry per atom
D(E_F)	2.423	states/eV per cell